1.
{"formula": "BaI2Br8", "functional": "PBE-GGA", "state": "relaxed", "raw_formation_energy_kj_per_mol_atoms": -46.1, "crystal_system": "monoclinic", "total_magnetization_mub_per_atom": 0.008, "vol_a3_per_atom": 41.84, "sg": "C2/m, No. 12", "cell": [[8.7572, 0.5114, 0.4374], [1.6594, 8.0970, 2.3453], [1.6594, 3.5722, 7.6356]], "species": ["Br", "Br", "Br", "Br", "Br", "Br", "Br", "Br", "Ba", "I", "I"], "fractional_positions": [[0.2500, 0.8378, 0.3429], [0.7500, 0.1622, 0.6571], [0.2500, 0.3429, 0.8378], [0.7500, 0.6571, 0.1622], [0.7551, 0.5444, 0.5444], [0.2461, 0.8120, 0.8120], [0.7539, 0.1880, 0.1880], [0.2449, 0.4556, 0.4556], [0.0000, 0.0000, 0.0000], [0.7463, 0.7828, 0.7828], [0.2537, 0.2172, 0.2172]]}

2.
{"formula": "TaSi2Os", "functional": "PBE-GGA", "state": "relaxed", "raw_formation_energy_kj_per_mol_atoms": -24.1, "crystal_system": "tetragonal", "total_magnetization_mub_per_atom": 0.000, "n_ef_per_ev_cell": 1.90, "vol_a3_per_atom": 14.26, "sg": "P4/mmm, No. 123", "cell": [[2.9460, 0.0000, 0.0000], [0.0000, 2.9460, 0.0000], [0.0000, 0.0000, 6.5729]], "species": ["Ta", "Os", "Si", "Si"], "fractional_positions": [[0.5000, 0.5000, 0.2500], [0.5000, 0.5000, 0.7500], [0.0000, 0.0000, 0.9733], [0.0000, 0.0000, 0.5267]]}